(1)
Computed, not measured: a PBEsol-optimized structure of Os3RuF at the SCAN level of DFT.

Computed properties:
- Raw formation energy: 2394 meV per atom
- Crystal system: cubic
- N(E_F): 0.926 states/eV per atom
- Energy: -48.41 eV/atom

Lattice parameters (Å, degrees): 4.6246 4.6246 4.6246 90.00 90.00 90.00
Closest atoms and distances in Å follow each position.
Atoms (fractional coordinates):
Os 0.0000 0.0000 0.5000  2 Ru 2.31
Os 0.0000 0.5000 0.0000  2 Ru 2.31
Os 0.5000 0.0000 0.0000  2 Ru 2.31
Ru 0.0000 0.0000 0.0000  6 Os 2.31
F 0.5000 0.5000 0.5000  12 Os 3.27

---

(2)
Computed, not measured: a PBEsol-optimized structure of Os3SF at the SCAN level of DFT.

Computed properties:
- Raw formation energy: 1430 meV per atom
- Crystal system: cubic
- N(E_F): 0.373 states/eV per atom
- Energy: -44.33 eV/atom

Lattice parameters (Å, degrees): 4.3072 4.3072 4.3072 90.00 90.00 90.00
Closest atoms and distances in Å follow each position.
Atoms (fractional coordinates):
Os 0.0000 0.0000 0.5000  2 S 2.15
Os 0.0000 0.5000 0.0000  2 S 2.15
Os 0.5000 0.0000 0.0000  2 S 2.15
S 0.0000 0.0000 0.0000  6 Os 2.15
F 0.5000 0.5000 0.5000  12 Os 3.05

---

(3)
Computed, not measured: a PBEsol-optimized structure of Sb2OsF at the SCAN level of DFT.

Computed properties:
- Raw formation energy: -40 meV per atom
- Crystal system: tetragonal
- N(E_F): 0.596 states/eV per atom
- Energy: -37.53 eV/atom

Lattice parameters (Å, degrees): 7.3573 7.3573 7.3573 135.82 135.82 64.26
Closest atoms and distances in Å follow each position.
Atoms (fractional coordinates):
Sb 0.1243 0.6250 0.9993  2 F 2.50, 2 Os 2.50
Sb 0.3750 0.3743 0.4993  2 F 2.50, 2 Os 2.50
Sb 0.6257 0.1250 0.0007  2 F 2.50, 2 Os 2.50
Sb 0.8750 0.8757 0.5007  2 F 2.50, 2 Os 2.50
Os 0.2500 0.7500 0.5000  4 Sb 2.50
Os 0.5000 0.5000 0.0000  4 Sb 2.50
F 0.0000 0.0000 0.0000  4 Sb 2.50
F 0.7500 0.2500 0.5000  4 Sb 2.50

---

(4)
Computed, not measured: a PBEsol-optimized structure of Sb2TeOsF at the SCAN level of DFT.

Computed properties:
- Raw formation energy: 380 meV per atom
- Crystal system: tetragonal
- N(E_F): 1.577 states/eV per atom
- Energy: -37.06 eV/atom

Lattice parameters (Å, degrees): 5.0560 5.0560 5.2546 90.00 90.00 90.00
Closest atoms and distances in Å follow each position.
Atoms (fractional coordinates):
Sb 0.0000 0.5000 0.0000  2 Os 2.53
Sb 0.5000 0.0000 0.0000  2 Os 2.53
Te 0.0000 0.0000 0.5000  2 Os 2.63
Os 0.0000 0.0000 0.0000  4 Sb 2.53, 2 Te 2.63
F 0.5000 0.5000 0.5000  4 Te 3.58, 8 Sb 3.65

---

(5)
Computed, not measured: a PBEsol-optimized structure of TiSb2OsF at the SCAN level of DFT.

Computed properties:
- Raw formation energy: 220 meV per atom
- Crystal system: tetragonal
- N(E_F): 0.768 states/eV per atom
- Energy: -32.97 eV/atom

Lattice parameters (Å, degrees): 4.8128 4.8128 3.7994 90.00 90.00 90.00
Closest atoms and distances in Å follow each position.
Atoms (fractional coordinates):
Ti 0.0000 0.0000 0.0000  2 F 1.90
Sb 0.0000 0.5000 0.5000  2 F 2.41
Sb 0.5000 0.0000 0.5000  2 F 2.41
Os 0.5000 0.5000 0.0000  8 Sb 3.07, 4 Ti 3.40
F 0.0000 0.0000 0.5000  2 Ti 1.90

---

(6)
Computed, not measured: a PBEsol-optimized structure of ScOsF2 at the SCAN level of DFT.

Computed properties:
- Raw formation energy: -1447 meV per atom
- Crystal system: trigonal
- N(E_F): 0.602 states/eV per atom
- Energy: -24.75 eV/atom

Lattice parameters (Å, degrees): 7.4917 7.4917 7.4917 21.18 21.18 21.18
Closest atoms and distances in Å follow each position.
Atoms (fractional coordinates):
Sc 0.0000 0.0000 0.0000  6 F 2.21
Os 0.5000 0.5000 0.5000  2 F 2.12
F 0.4035 0.4035 0.4035  1 Os 2.12, 3 Sc 2.21
F 0.5965 0.5965 0.5965  1 Os 2.12, 3 Sc 2.21

---

(7)
Computed, not measured: a PBEsol-optimized structure of OsSe2F at the SCAN level of DFT.

Computed properties:
- Raw formation energy: -312 meV per atom
- Crystal system: trigonal
- N(E_F): 0.352 states/eV per atom
- Energy: -29.21 eV/atom

Lattice parameters (Å, degrees): 6.8546 6.8546 6.8546 32.31 32.31 32.31
Closest atoms and distances in Å follow each position.
Atoms (fractional coordinates):
Os 0.0000 0.0000 0.0000  6 Se 2.47
Se 0.3907 0.3907 0.3907  1 F 2.13
Se 0.6093 0.6093 0.6093  1 F 2.13
F 0.5000 0.5000 0.5000  2 Se 2.13

---

(8)
Computed, not measured: a PBEsol-optimized structure of Sn3OsF at the SCAN level of DFT.

Computed properties:
- Raw formation energy: 524 meV per atom
- Crystal system: cubic
- N(E_F): 0.589 states/eV per atom
- Energy: -36.11 eV/atom

Lattice parameters (Å, degrees): 4.6235 4.6235 4.6235 90.00 90.00 90.00
Closest atoms and distances in Å follow each position.
Atoms (fractional coordinates):
Sn 0.0000 0.0000 0.5000  2 F 2.31
Sn 0.0000 0.5000 0.0000  2 F 2.31
Sn 0.5000 0.0000 0.0000  2 F 2.31
Os 0.5000 0.5000 0.5000  12 Sn 3.27
F 0.0000 0.0000 0.0000  6 Sn 2.31

---

Among the records above, which one has the highest N(E_F)?
Sb2TeOsF